1.
Material: Ac2PmNi6
Method: DFT, PBE
State: relaxed

Mass density (g/cm3): 8.77
M_tot (μB per atom): 0.054
Space-group type: P6/mmm (191)
E_tot (Ry/atom): -0.410
DOS at the Fermi energy (states/eV per cell): 10.80

abc: 7.095 7.095 4.130
angles: 90.00 90.00 120.00
Fractional coordinates of all 9 atoms:
Ac1 0.333 0.667 0.000
Ac2 0.667 0.333 0.000
Pm1 0.000 0.000 0.000
Ni1 0.000 0.330 0.500
Ni2 0.000 0.670 0.500
Ni3 0.330 0.000 0.500
Ni4 0.330 0.330 0.500
Ni5 0.670 0.000 0.500
Ni6 0.670 0.670 0.500

2.
Material: AcPmNi2
Method: DFT, PBE
State: relaxed

Mass density (g/cm3): 8.87
M_tot (μB per atom): 0.000
Space-group type: Fm-3m (225)
E_tot (Ry/atom): -0.387
DOS at the Fermi energy (states/eV per cell): 3.99

abc: 5.059 5.059 5.059
angles: 60.00 60.00 60.00
Fractional coordinates of all 4 atoms:
Ac1 0.000 0.000 0.000
Pm1 0.500 0.500 0.500
Ni1 0.250 0.250 0.250
Ni2 0.750 0.750 0.750

3.
Material: AcPm3Ni
Method: DFT, PBE
State: relaxed

Mass density (g/cm3): 7.37
M_tot (μB per atom): 0.000
Space-group type: P-3m1 (164)
E_tot (Ry/atom): -0.359
DOS at the Fermi energy (states/eV per cell): 11.08

abc: 7.773 7.773 6.204
angles: 90.00 90.00 120.00
Fractional coordinates of all 10 atoms:
Ac1 0.333 0.667 0.250
Ac2 0.667 0.333 0.750
Pm1 0.173 0.346 0.750
Pm2 0.173 0.827 0.750
Pm3 0.346 0.173 0.250
Pm4 0.654 0.827 0.750
Pm5 0.827 0.173 0.250
Pm6 0.827 0.654 0.250
Ni1 0.000 0.000 0.000
Ni2 0.000 0.000 0.500

What is the DOS at the Fermi energy in the third record? 11.08 states/eV per cell

Among the records above, which one has the lowest DOS at the Fermi energy? AcPmNi2

What is the DOS at the Fermi energy in the third record? 11.08 states/eV per cell